Pa3NbGa5 | GGA-PBE | relaxed

Computed properties:
V = 376.5 Å³ per cell
E_form = -0.273 eV/atom

```
Pa3NbGa5
1.0
-5.167 -1.114 2.534
-1.450 -6.276 -5.717
4.015 -1.769 7.411
Ga Pa Nb
10 6 2
Direct
0.500 0.333 0.667
0.500 0.667 0.333
0.250 0.000 0.275
0.750 0.275 0.275
0.250 0.725 0.725
0.000 0.333 0.667
0.000 0.667 0.333
0.750 0.000 0.725
0.250 0.275 0.000
0.750 0.725 0.000
0.250 0.000 0.621
0.250 0.379 0.379
0.250 0.621 0.000
0.750 0.000 0.379
0.750 0.621 0.621
0.750 0.379 0.000
0.000 0.000 0.000
0.500 0.000 0.000
```